1.
MgAl2P: optimized geometry, PBE.

Cell: 7.6520 7.6520 7.6520 Å, 26.41 26.41 26.41°
Atoms (fractional coordinates):
Al  0.0173  0.0173  0.0173
Al  0.2556  0.2556  0.2556
Mg  0.4858  0.4858  0.4858
P  0.7413  0.7413  0.7413

Properties
As for the symmetry: R3m (160). The total energy is -14.9 eV for the cell shown. The value obtained for the distance to the lowest polymorph of the same formula is 55 meV/atom.

2.
Ca2NpAgSe4: optimized geometry, PBE.

Cell: 4.1946 7.1756 7.2695 Å, 109.68 90.00 90.00°
Last column: magnetic moment on the atom in μB.
Atoms (fractional coordinates):
Ca  0.5000  0.0000  0.5000  0.01
Ca  0.0000  0.5000  0.5000  0.01
Np  0.5000  0.5000  0.0000  3.93
Ag  0.0000  0.0000  0.0000  -0.01
Se  0.5000  0.2507  0.2443  -0.03
Se  0.5000  0.7493  0.7557  -0.03
Se  0.0000  0.2553  0.7508  -0.04
Se  0.0000  0.7447  0.2492  -0.04

Properties
As for the symmetry: P2/m (10). The total energy is -44.2 eV for the cell shown. The calculation puts the uncorrected formation energy at -1.31 eV per atom.